Computed, not measured: a geometry-optimized Cs3Hg2F7 structure at the PBE level of DFT.

Computed properties:
crystal system	tetragonal
final energy	-3.456	eV per atom
ρ	6.4	Mg/m³

```
Cs3Hg2F7
1.0
-4.088 10.231 4.949
-9.145 7.657 1.900
5.824 -10.554 -0.751
Cs F Hg
3 7 2
Direct
0.315 0.315 0.000
0.500 0.500 0.000
0.685 0.685 0.000
0.000 0.000 0.000
0.196 0.196 0.000
0.804 0.804 0.000
0.595 0.095 0.500
0.905 0.405 0.500
0.095 0.595 0.500
0.405 0.905 0.500
0.099 0.099 0.000
0.901 0.901 0.000
```

Computed, not measured: a geometry-optimized Cs3HgF6 structure at the PBE level of DFT.

Computed properties:
crystal system	monoclinic
ρ	5.4	Mg/m³
ΔE to the lowest computed polymorph	0	meV per atom

```
Cs3HgF6
1.0
-1.302 2.984 -5.858
-6.182 -2.982 -0.144
-2.398 4.470 10.354
Cs F Hg
6 12 2
Direct
0.500 0.000 0.000
0.238 0.959 0.250
0.762 0.459 0.250
0.500 0.500 0.500
0.238 0.541 0.750
0.762 0.041 0.750
0.780 0.686 0.041
0.878 0.240 0.058
0.312 0.540 0.220
0.688 0.040 0.280
0.122 0.740 0.442
0.220 0.186 0.459
0.780 0.814 0.541
0.878 0.260 0.558
0.312 0.960 0.720
0.688 0.460 0.780
0.122 0.760 0.942
0.220 0.314 0.959
0.000 0.500 0.000
0.000 0.000 0.500
```

Computed, not measured: a geometry-optimized Cs3HgF6 structure at the PBE level of DFT.

Computed properties:
crystal system	cubic
ρ	5.4	Mg/m³
ΔE to the lowest computed polymorph	19	meV per atom

```
Cs3HgF6
1.0
-2.266 -2.264 5.978
-6.635 0.165 1.395
-3.543 -5.774 0.317
Cs F Hg
3 6 1
Direct
0.000 0.000 0.000
0.250 0.250 0.250
0.750 0.750 0.750
0.728 0.272 0.272
0.272 0.728 0.272
0.728 0.728 0.272
0.272 0.272 0.728
0.728 0.272 0.728
0.272 0.728 0.728
0.500 0.500 0.500
```

Computed, not measured: a geometry-optimized Cs2HgF6 structure at the PBE level of DFT.

Computed properties:
crystal system	cubic
final energy	-3.203	eV per atom
ρ	6.0	Mg/m³

```
Cs2HgF6
1.0
0.000 4.324 4.324
4.324 0.000 4.324
4.324 4.324 0.000
Cs F Hg
2 6 1
Direct
0.250 0.250 0.250
0.750 0.750 0.750
0.244 0.756 0.244
0.756 0.756 0.244
0.756 0.244 0.244
0.756 0.244 0.756
0.244 0.756 0.756
0.244 0.244 0.756
0.000 0.000 0.000
```

Computed, not measured: a geometry-optimized CsHgF4 structure at the PBE level of DFT.

Computed properties:
crystal system	monoclinic
final energy	-3.118	eV per atom
ρ	6.4	Mg/m³

```
CsHgF4
1.0
4.091 -5.084 0.000
4.091 5.084 0.000
-3.546 0.000 5.099
Cs F Hg
2 8 2
Direct
0.619 0.381 0.250
0.381 0.619 0.750
0.135 0.211 0.235
0.428 0.921 0.238
0.079 0.572 0.262
0.789 0.865 0.265
0.211 0.135 0.735
0.921 0.428 0.738
0.572 0.079 0.762
0.865 0.789 0.765
0.110 0.890 0.250
0.890 0.110 0.750
```

Computed, not measured: a geometry-optimized Cs2LiHgF6 structure at the PBE level of DFT.

Computed properties:
crystal system	trigonal
ρ	6.0	Mg/m³
ΔE to the lowest computed polymorph	0	meV per atom

```
Cs2LiHgF6
1.0
-8.124 -1.906 6.698
-3.364 -0.290 10.154
-6.684 3.987 7.343
Cs F Hg Li
4 12 2 2
Direct
0.125 0.125 0.125
0.288 0.288 0.288
0.712 0.712 0.712
0.875 0.875 0.875
0.611 0.611 0.139
0.696 0.214 0.214
0.214 0.696 0.214
0.786 0.786 0.304
0.861 0.389 0.389
0.389 0.861 0.389
0.611 0.139 0.611
0.139 0.611 0.611
0.214 0.214 0.696
0.786 0.304 0.786
0.304 0.786 0.786
0.389 0.389 0.861
0.000 0.000 0.000
0.500 0.500 0.500
0.406 0.406 0.406
0.594 0.594 0.594
```

Computed, not measured: a geometry-optimized Cs2LiHgF6 structure at the PBE level of DFT.

Computed properties:
crystal system	triclinic
ρ	6.5	Mg/m³
ΔE to the lowest computed polymorph	32	meV per atom

```
Cs2LiHgF6
1.0
-3.592 -4.588 -1.283
1.516 0.420 -5.757
6.394 -5.366 1.291
Cs F Hg Li
4 12 2 2
Direct
0.050 0.550 0.250
0.550 0.050 0.250
0.550 0.050 0.750
0.050 0.550 0.750
0.309 0.312 0.000
0.312 0.791 0.000
0.550 0.550 0.240
0.049 0.050 0.260
0.287 0.808 0.500
0.292 0.287 0.500
0.808 0.813 0.500
0.813 0.292 0.500
0.051 0.050 0.740
0.550 0.550 0.760
0.788 0.310 0.000
0.790 0.788 0.000
0.050 0.050 0.000
0.550 0.550 0.500
0.550 0.550 0.000
0.050 0.050 0.500
```

Computed, not measured: a geometry-optimized Cs2LiHgF6 structure at the PBE level of DFT.

Computed properties:
crystal system	monoclinic
ρ	6.2	Mg/m³
ΔE to the lowest computed polymorph	2	meV per atom

```
Cs2LiHgF6
1.0
6.028 0.000 0.000
0.000 6.062 0.000
0.013 0.000 8.581
Cs F Hg Li
4 12 2 2
Direct
0.000 0.500 0.250
0.500 0.000 0.250
0.500 0.000 0.750
0.000 0.500 0.750
0.741 0.259 0.000
0.259 0.259 0.000
0.741 0.741 0.000
0.259 0.741 0.000
0.500 0.500 0.240
0.000 0.000 0.260
0.759 0.241 0.500
0.241 0.241 0.500
0.759 0.759 0.500
0.241 0.759 0.500
0.000 0.000 0.740
0.500 0.500 0.760
0.000 0.000 0.000
0.500 0.500 0.500
0.500 0.500 0.000
0.000 0.000 0.500
```

Computed, not measured: a geometry-optimized Cs2LiHgF6 structure at the PBE level of DFT.

Computed properties:
crystal system	cubic
ρ	6.2	Mg/m³
ΔE to the lowest computed polymorph	2	meV per atom

```
Cs2LiHgF6
1.0
-3.025 3.025 4.278
3.025 -3.025 4.278
3.025 3.025 -4.278
Cs F Hg Li
2 6 1 1
Direct
0.750 0.250 0.500
0.250 0.750 0.500
0.759 0.241 0.000
0.241 0.241 0.000
0.759 0.759 0.000
0.241 0.759 0.000
0.241 0.241 0.482
0.759 0.759 0.518
0.500 0.500 0.000
0.000 0.000 0.000
```

Computed, not measured: a geometry-optimized Cs2LiHgF6 structure at the PBE level of DFT.

Computed properties:
crystal system	tetragonal
ρ	6.2	Mg/m³
ΔE to the lowest computed polymorph	0	meV per atom

```
Cs2LiHgF6
1.0
-0.032 -2.236 5.631
4.848 3.365 1.375
-4.976 2.625 -2.251
Cs F Hg Li
2 6 1 1
Direct
0.750 0.250 0.500
0.250 0.750 0.500
0.259 0.259 0.000
0.741 0.741 0.000
0.742 0.260 0.002
0.740 0.742 0.482
0.260 0.258 0.518
0.258 0.740 0.998
0.000 0.000 0.000
0.500 0.500 0.000
```

Computed, not measured: a geometry-optimized Cs2HgPdF6 structure at the PBE level of DFT.

Computed properties:
crystal system	tetragonal
final energy	-3.760	eV per atom
ρ	6.3	Mg/m³

```
Cs2HgPdF6
1.0
-3.117 3.117 4.684
3.117 -3.117 4.684
3.117 3.117 -4.684
Cs F Hg Pd
2 6 1 1
Direct
0.750 0.250 0.500
0.250 0.750 0.500
0.773 0.227 0.000
0.274 0.274 0.000
0.726 0.726 0.000
0.227 0.773 0.000
0.227 0.227 0.455
0.773 0.773 0.545
0.500 0.500 0.000
0.000 0.000 0.000
```

Computed, not measured: a geometry-optimized CsHgPdF5 structure at the PBE level of DFT.

Computed properties:
crystal system	orthorhombic
final energy	-3.626	eV per atom
ρ	6.8	Mg/m³

```
CsHgPdF5
1.0
3.169 -6.307 1.835
-5.860 -2.208 3.739
0.498 1.723 -7.069
Cs F Hg Pd
2 10 2 2
Direct
0.363 0.113 0.250
0.637 0.887 0.750
0.048 0.332 0.140
0.308 0.668 0.215
0.640 0.390 0.250
0.952 0.092 0.285
0.692 0.908 0.360
0.308 0.092 0.640
0.048 0.908 0.715
0.360 0.610 0.750
0.692 0.332 0.785
0.952 0.668 0.860
0.500 0.500 0.000
0.000 0.500 0.500
0.000 0.500 0.000
0.000 0.000 0.500
```

Number 10 is which compound?
Cs2LiHgF6

Look up the ρ of the eighth one.
6.2 Mg/m³

Which value of ρ does entry 8 give?
6.2 Mg/m³